(1)
Li2CrSb | GGA-PBE | optimized geometry Values from VASP.

```
&SYSTEM
  ibrav = 0, nat = 8, ntyp = 3
/
ATOMIC_SPECIES
Li 6.94 Li.upf
Cr 52.00 Cr.upf
Sb 121.76 Sb.upf
CELL_PARAMETERS angstrom
4.0067 0.0000 0.0000
0.0000 4.0067 0.0000
2.0034 2.0034 9.9087
ATOMIC_POSITIONS crystal
Li 0.8750 0.8916 0.7500
Cr 0.2500 0.7500 0.5000
Cr 0.5000 0.5000 0.0000
Sb 0.7500 0.2500 0.5000
Li 0.3750 0.3584 0.7500
Sb 0.0000 0.0000 0.0000
Li 0.6416 0.1250 0.2500
Li 0.1084 0.6250 0.2500
```

(2)
! TlSbIr2 | the Alexandria database | GGA-PBE | optimized geometry; values from VASP
&SYSTEM
  ibrav = 0, nat = 4, ntyp = 3
/
ATOMIC_SPECIES
Ir 192.22 Ir.upf
Sb 121.76 Sb.upf
Tl 204.38 Tl.upf
CELL_PARAMETERS angstrom
4.8707 -0.0414 0.0015
-0.8021 4.8044 0.0015
-0.0024 -0.0028 3.1538
ATOMIC_POSITIONS crystal
Ir 0.5000 0.5000 0.0000
Ir 0.0000 0.0000 0.0000
Sb 0.5000 0.0000 0.5000
Tl 0.0000 0.5000 0.5000
! Energy relative to the lowest polymorph listed for this composition in meV/atom: 125

(3)
Te3Pb | GGA-PBE | optimized geometry Values from VASP.

```
&SYSTEM
  ibrav = 0, nat = 4, ntyp = 2
/
ATOMIC_SPECIES
Te 127.60 Te.upf
Pb 207.20 Pb.upf
CELL_PARAMETERS angstrom
4.2042 0.0000 0.0000
-2.1021 3.6410 0.0000
0.0000 0.0000 8.6082
ATOMIC_POSITIONS crystal
Te 0.6667 0.3333 0.2481
Pb 0.0000 0.0000 0.0000
Te 0.0000 0.0000 0.5000
Te 0.6667 0.3333 0.7519
```

(4)
TbNdO4 | GGA-PBE | optimized geometry Values from VASP.

```
&SYSTEM
  ibrav = 0, nat = 6, ntyp = 3
/
ATOMIC_SPECIES
O 16.00 O.upf
Tb 158.93 Tb.upf
Nd 144.24 Nd.upf
CELL_PARAMETERS angstrom
-0.7212 3.1066 2.3468
-2.8862 -1.7264 -1.9421
-0.1091 -3.8904 5.1163
ATOMIC_POSITIONS crystal
O 0.0984 0.1968 0.3832
Tb 0.0556 0.1111 0.0204
O 0.4003 0.8006 0.0992
Nd 0.4477 0.8953 0.4806
O 0.8315 0.6630 0.6889
O 0.6666 0.3332 0.8277
```

| no. | Fermi-level density of states (states/eV/atom) | formation energy without anion corrections (eV/atom) |
| --- | --- | --- |
| 1 | 0.34 | 0.110 |
| 2 | 0.62 | 0.441 |
| 3 | 0.73 | 0.061 |
| 4 | 0.00 | -2.895 |